This record from Alexandria describes Mg2Cd8In after structural relaxation. The functional is PBE.

Formation energy from the elements = 0.0 eV per formula unit
Total DFT energy (no corrections) = -1.20 eV per atom
Energy above the most stable polymorph in this dataset = 0.0 meV per atom
Space-group type = P1 (1)

a b c (Å): 3.263 7.507 11.588
angles (deg): 65.78 82.91 89.32
Atoms (fractional coordinates):
Cd: 0.545 0.709 0.903
Cd: 0.143 0.980 0.680
Cd: 0.685 0.352 0.590
Cd: 0.452 0.291 0.038
Cd: 0.898 0.533 0.165
Cd: 0.314 0.645 0.351
Cd: 0.856 0.018 0.259
Cd: 0.102 0.470 0.774
In: 0.999 0.003 0.967
Mg: 0.714 0.787 0.543
Mg: 0.287 0.213 0.396

=====

This record from Alexandria describes Ca2MgTlH after structural relaxation. The functional is PBE.

Total DFT energy (no corrections) = -2.57 eV per atom
Energy above the most stable polymorph in this dataset = 0.0 meV per atom
Space-group type = P4/mmm (123)

a b c (Å): 4.983 4.983 4.535
angles (deg): 90.00 90.00 90.00
Atoms (fractional coordinates):
H: 0.000 0.000 0.000
Tl: 0.500 0.500 0.500
Ca: 0.500 0.000 0.000
Ca: 0.000 0.500 0.000
Mg: 0.000 0.000 0.500

=====

This record from Alexandria describes BeHg2Ir after structural relaxation. The functional is PBE.

Formation energy from the elements = 0.8 eV per formula unit
Total DFT energy (no corrections) = -3.11 eV per atom
Space-group type = R3m (160)

a b c (Å): 9.532 9.532 9.532
angles (deg): 17.96 17.96 17.96
Atoms (fractional coordinates):
Hg: 0.238 0.238 0.238
Hg: 0.018 0.018 0.018
Ir: 0.481 0.481 0.481
Be: 0.763 0.763 0.763

=====

This record from Alexandria describes PmY2Be after structural relaxation. The functional is PBE.

Formation energy from the elements = 0.2 eV per formula unit
Total DFT energy (no corrections) = -5.29 eV per atom
Energy above the most stable polymorph in this dataset = 0.0 meV per atom
Space-group type = P4/mmm (123)

a b c (Å): 3.478 3.478 8.805
angles (deg): 90.00 90.00 90.00
Atoms (fractional coordinates):
Be: 0.500 0.500 0.000
Pm: 0.500 0.500 0.500
Y: 0.000 0.000 0.189
Y: 0.000 0.000 0.811

=====

This record from Alexandria describes K4CrFe after structural relaxation. The functional is PBE.

Formation energy from the elements = 7.2 eV per formula unit
Total DFT energy (no corrections) = -2.54 eV per atom
Space-group type = F-43m (216)

a b c (Å): 7.284 7.284 7.284
angles (deg): 60.00 60.00 60.00
Site moments in Bohr magnetons follow the coordinates.
Atoms (fractional coordinates):
K: 0.375 0.876 0.375  0.00
K: 0.876 0.375 0.375  0.00
K: 0.375 0.375 0.375  0.00
K: 0.375 0.375 0.876  0.00
Cr: 0.750 0.750 0.750  4.25
Fe: 0.000 0.000 0.000  3.22

=====

This record from Alexandria describes YZnSi3 after structural relaxation. The functional is PBE.

Total DFT energy (no corrections) = -4.38 eV per atom
Energy relative to the elements, uncorrected = 0.42 eV/atom
Space-group type = Pm-3m (221)

a b c (Å): 4.709 4.709 4.709
angles (deg): 90.00 90.00 90.00
Atoms (fractional coordinates):
Y: 0.500 0.500 0.500
Si: 0.500 0.000 0.000
Si: 0.000 0.500 0.000
Si: 0.000 0.000 0.500
Zn: 0.000 0.000 0.000

=====

This record from Alexandria describes CeSmHo2Bi4 after structural relaxation. The functional is PBE.

Formation energy from the elements = -6.8 eV per formula unit
Total DFT energy (no corrections) = -5.26 eV per atom
Space-group type = P2/m (10)

a b c (Å): 4.527 7.820 7.835
angles (deg): 70.52 90.00 90.00
Site moments in Bohr magnetons follow the coordinates.
Atoms (fractional coordinates):
Sm: 0.000 0.500 0.500  0.00
Bi: 0.000 0.757 0.747  -0.02
Bi: 0.500 0.757 0.248  -0.01
Bi: 0.500 0.243 0.752  -0.01
Bi: 0.000 0.243 0.253  -0.02
Ce: 0.500 0.500 0.000  0.79
Ho: 0.000 0.000 0.000  -0.01
Ho: 0.500 0.000 0.500  -0.01

=====

This record from Alexandria describes Ac2Ge5Pd3 after structural relaxation. The functional is PBE.

Formation energy from the elements = -7.6 eV per formula unit
Total DFT energy (no corrections) = -5.45 eV per atom
Space-group type = Ibam (72)

a b c (Å): 6.369 8.765 8.765
angles (deg): 73.03 68.70 68.70
Atoms (fractional coordinates):
Ac: 0.372 0.864 0.392
Ac: 0.128 0.608 0.136
Ac: 0.872 0.392 0.864
Ac: 0.628 0.136 0.608
Ge: 0.611 0.744 0.035
Ge: 0.889 0.965 0.256
Ge: 0.517 0.233 0.233
Ge: 0.017 0.233 0.233
Ge: 0.983 0.767 0.767
Ge: 0.483 0.767 0.767
Ge: 0.250 0.500 0.500
Ge: 0.750 0.500 0.500
Ge: 0.389 0.256 0.965
Ge: 0.111 0.035 0.744
Pd: 0.363 0.524 0.751
Pd: 0.137 0.249 0.476
Pd: 0.250 0.000 0.000
Pd: 0.863 0.751 0.524
Pd: 0.750 0.000 0.000
Pd: 0.637 0.476 0.249